AcEuSe: relaxed, PBE-GGA. Values from VASP.

Quantum ESPRESSO input file:
```
&SYSTEM
  ibrav = 0, nat = 3, ntyp = 3
/
ATOMIC_SPECIES
Ac 227.00 Ac.upf
Eu 151.96 Eu.upf
Se 78.96 Se.upf
ATOMIC_POSITIONS crystal
Ac 0.301 0.301 0.602
Eu 0.036 0.036 0.072
Se 0.663 0.663 0.326
CELL_PARAMETERS angstrom
-2.842 0.082 2.585
2.379 -1.426 2.660
2.076 7.149 -0.800
```

Results
Polymorph energy (0 for the lowest one): 131 meV per atom
Raw formation energy: -1.02 eV per atom
Volume: 34.34 Å³/atom
Uncorrected energy: -6.9761 eV/atom
Total magnetization: 7.4 μB/cell


HfTaBr2: relaxed, PBE-GGA. Values from VASP.

Quantum ESPRESSO input file:
```
&SYSTEM
  ibrav = 0, nat = 4, ntyp = 3
/
ATOMIC_SPECIES
Br 79.90 Br.upf
Hf 178.49 Hf.upf
Ta 180.95 Ta.upf
ATOMIC_POSITIONS crystal
Br 0.094 0.094 0.094
Br 0.906 0.906 0.906
Hf 0.500 0.500 0.500
Ta 0.000 0.000 0.000
CELL_PARAMETERS angstrom
0.214 -9.544 0.010
3.106 -8.939 -1.258
2.718 -8.944 1.934
```

Results
Polymorph energy (0 for the lowest one): 0 meV per atom
Raw formation energy: 0.00 eV per atom
Volume: 20.95 Å³/atom
Uncorrected energy: -6.2861 eV/atom
Total magnetization: 0.0 μB/cell


TbNdY2: relaxed, PBE-GGA. Values from VASP.

Quantum ESPRESSO input file:
```
&SYSTEM
  ibrav = 0, nat = 4, ntyp = 3
/
ATOMIC_SPECIES
Nd 144.24 Nd.upf
Tb 158.93 Tb.upf
Y 88.91 Y.upf
ATOMIC_POSITIONS crystal
Nd 0.500 0.500 0.500
Tb 0.500 0.000 0.000
Y 0.000 0.000 0.500
Y 0.000 0.500 0.000
CELL_PARAMETERS angstrom
5.078 0.000 0.000
0.000 5.088 0.000
0.000 0.000 5.088
```

Results
Polymorph energy (0 for the lowest one): 5 meV per atom
Volume: 32.87 Å³/atom
Uncorrected energy: -5.5603 eV/atom
Energy of formation from the pure elements: 0.49 kcal/mol of atoms
Total magnetization: 0.0 μB/cell


Ce2Pm3TmS6: relaxed, PBE-GGA. Values from VASP.

Quantum ESPRESSO input file:
```
&SYSTEM
  ibrav = 0, nat = 12, ntyp = 4
/
ATOMIC_SPECIES
Pm 145.00 Pm.upf
Ce 140.12 Ce.upf
S 32.06 S.upf
Tm 168.93 Tm.upf
ATOMIC_POSITIONS crystal
Pm 0.500 0.500 0.500
Pm 0.168 0.832 0.500
Pm 0.832 0.168 0.500
Ce 0.666 0.334 0.000
Ce 0.334 0.666 0.000
S 0.242 0.242 0.755
S 0.595 0.919 0.757
S 0.405 0.081 0.243
S 0.919 0.595 0.757
S 0.758 0.758 0.245
S 0.081 0.405 0.243
Tm 0.000 0.000 0.000
CELL_PARAMETERS angstrom
6.930 -0.005 -0.003
-3.468 6.000 -0.003
-1.158 -2.005 6.530
```

Results
Raw formation energy: -2.02 eV per atom
Volume: 22.61 Å³/atom
Uncorrected energy: -6.6365 eV/atom
Total magnetization: 1.5 μB/cell


K2YTa: relaxed, PBE-GGA. Values from VASP.

Quantum ESPRESSO input file:
```
&SYSTEM
  ibrav = 0, nat = 4, ntyp = 3
/
ATOMIC_SPECIES
K 39.10 K.upf
Ta 180.95 Ta.upf
Y 88.91 Y.upf
ATOMIC_POSITIONS crystal
K 0.250 0.750 0.500
K 0.000 0.000 0.000
Ta 0.500 0.500 0.000
Y 0.750 0.250 0.500
CELL_PARAMETERS angstrom
-1.161 5.064 -2.626
-5.656 -0.672 1.201
3.932 -0.221 4.287
```

Results
Polymorph energy (0 for the lowest one): 652 meV per atom
Volume: 34.88 Å³/atom
Uncorrected energy: -3.7894 eV/atom
Energy of formation from the pure elements: 30.87 kcal/mol of atoms
Total magnetization: 4.0 μB/cell


CrHOs2: relaxed, PBE-GGA. Values from VASP.

Quantum ESPRESSO input file:
```
&SYSTEM
  ibrav = 0, nat = 8, ntyp = 3
/
ATOMIC_SPECIES
Os 190.23 Os.upf
Cr 52.00 Cr.upf
H 1.01 H.upf
ATOMIC_POSITIONS crystal
Os 0.213 0.625 0.250
Os 0.537 0.125 0.250
Os 0.875 0.787 0.750
Os 0.375 0.463 0.750
Cr 0.000 0.000 0.000
Cr 0.750 0.250 0.500
H 0.250 0.750 0.500
H 0.500 0.500 0.000
CELL_PARAMETERS angstrom
-1.308 -5.635 1.441
5.790 -1.400 -0.219
2.471 -2.948 3.048
```

Results
Polymorph energy (0 for the lowest one): 0 meV per atom
Volume: 11.16 Å³/atom
Uncorrected energy: -8.4602 eV/atom
Total magnetization: 1.8 μB/cell


SrLuTlAg: relaxed, PBE-GGA. Values from VASP.

Quantum ESPRESSO input file:
```
&SYSTEM
  ibrav = 0, nat = 4, ntyp = 4
/
ATOMIC_SPECIES
Ag 107.87 Ag.upf
Lu 174.97 Lu.upf
Sr 87.62 Sr.upf
Tl 204.38 Tl.upf
ATOMIC_POSITIONS crystal
Ag 0.750 0.750 0.750
Lu 0.000 0.000 0.000
Sr 0.500 0.500 0.500
Tl 0.250 0.250 0.250
CELL_PARAMETERS angstrom
5.399 0.000 0.000
2.700 4.676 0.000
2.700 1.559 4.409
```

Results
Volume: 27.83 Å³/atom
Uncorrected energy: -3.0966 eV/atom
Energy of formation from the pure elements: -5.57 kcal/mol of atoms
Total magnetization: 0.0 μB/cell


K2CdIn4Sn3: relaxed, PBE-GGA. Values from VASP.

Quantum ESPRESSO input file:
```
&SYSTEM
  ibrav = 0, nat = 10, ntyp = 4
/
ATOMIC_SPECIES
Sn 118.71 Sn.upf
In 114.82 In.upf
K 39.10 K.upf
Cd 112.41 Cd.upf
ATOMIC_POSITIONS crystal
Sn 0.000 0.000 0.500
Sn 0.000 0.500 0.133
Sn 0.500 0.000 0.867
In 0.500 0.000 0.631
In 0.500 0.500 0.000
In 0.000 0.000 0.000
In 0.000 0.500 0.369
K 0.000 0.500 0.749
K 0.500 0.000 0.251
Cd 0.500 0.500 0.500
CELL_PARAMETERS angstrom
5.098 0.000 0.000
0.000 5.098 0.000
0.000 0.000 12.273
```

Results
Volume: 31.90 Å³/atom
Uncorrected energy: -2.7534 eV/atom
Energy of formation from the pure elements: -3.37 kcal/mol of atoms
Total magnetization: 0.0 μB/cell


BaSr2: relaxed, PBE-GGA. Values from VASP.

Quantum ESPRESSO input file:
```
&SYSTEM
  ibrav = 0, nat = 6, ntyp = 2
/
ATOMIC_SPECIES
Sr 87.62 Sr.upf
Ba 137.33 Ba.upf
ATOMIC_POSITIONS crystal
Sr 0.581 0.581 0.000
Sr 0.169 0.669 0.500
Sr 0.419 0.419 0.000
Sr 0.331 0.831 0.500
Ba 0.000 0.000 0.000
Ba 0.750 0.250 0.500
CELL_PARAMETERS angstrom
20.517 0.010 0.000
19.665 5.851 0.000
-20.091 -2.931 2.951
```

Results
Polymorph energy (0 for the lowest one): 85 meV per atom
Volume: 58.95 Å³/atom
Uncorrected energy: -1.6735 eV/atom
Energy of formation from the pure elements: 2.04 kcal/mol of atoms
Total magnetization: 0.0 μB/cell


AlGeRh2: relaxed, PBE-GGA. Values from VASP.

Quantum ESPRESSO input file:
```
&SYSTEM
  ibrav = 0, nat = 4, ntyp = 3
/
ATOMIC_SPECIES
Rh 102.91 Rh.upf
Ge 72.64 Ge.upf
Al 26.98 Al.upf
ATOMIC_POSITIONS crystal
Rh 0.000 0.500 0.000
Rh 0.000 0.000 0.500
Ge 0.500 0.000 0.000
Al 0.500 0.500 0.500
CELL_PARAMETERS angstrom
-3.209 -0.400 -0.545
-0.427 -1.686 3.753
-0.738 3.743 1.598
```

Results
Volume: 14.03 Å³/atom
Uncorrected energy: -6.4599 eV/atom
Energy of formation from the pure elements: -16.01 kcal/mol of atoms
Total magnetization: 0.0 μB/cell


SmSc4Pt3O12: relaxed, PBE-GGA. Values from VASP.

Quantum ESPRESSO input file:
```
&SYSTEM
  ibrav = 0, nat = 20, ntyp = 4
/
ATOMIC_SPECIES
Pt 195.08 Pt.upf
O 16.00 O.upf
Sc 44.96 Sc.upf
Sm 150.36 Sm.upf
ATOMIC_POSITIONS crystal
Pt 0.500 0.500 0.000
Pt 0.000 0.500 0.500
Pt 0.500 0.000 0.500
O 0.699 0.164 0.863
O 0.301 0.836 0.137
O 0.164 0.465 0.301
O 0.863 0.699 0.164
O 0.699 0.836 0.535
O 0.465 0.301 0.164
O 0.301 0.164 0.465
O 0.836 0.137 0.301
O 0.535 0.699 0.836
O 0.164 0.863 0.699
O 0.836 0.535 0.699
O 0.137 0.301 0.836
Sc 0.500 0.500 0.500
Sc 0.000 0.500 0.000
Sc 0.500 0.000 0.000
Sc 0.000 0.000 0.500
Sm 0.000 0.000 0.000
CELL_PARAMETERS angstrom
-6.130 -0.506 -2.902
4.632 -3.047 -3.940
-0.122 -3.010 6.098
```

Results
Raw formation energy: -2.24 eV per atom
Volume: 12.11 Å³/atom
Uncorrected energy: -7.6257 eV/atom
Total magnetization: 2.9 μB/cell


InOs2Br: relaxed, PBE-GGA. Values from VASP.

Quantum ESPRESSO input file:
```
&SYSTEM
  ibrav = 0, nat = 4, ntyp = 3
/
ATOMIC_SPECIES
Br 79.90 Br.upf
In 114.82 In.upf
Os 190.23 Os.upf
ATOMIC_POSITIONS crystal
Br 0.000 0.000 0.455
In 0.500 0.500 0.785
Os 0.000 0.000 0.030
Os 0.500 0.500 0.229
CELL_PARAMETERS angstrom
-2.521 -1.129 0.977
1.852 -1.565 -1.645
4.917 -3.393 8.762
```

Results
Polymorph energy (0 for the lowest one): 421 meV per atom
Raw formation energy: 0.89 eV per atom
Volume: 19.37 Å³/atom
Uncorrected energy: -5.8292 eV/atom
Total magnetization: 0.3 μB/cell


LuPuAl2: relaxed, PBE-GGA. Values from VASP.

Quantum ESPRESSO input file:
```
&SYSTEM
  ibrav = 0, nat = 4, ntyp = 3
/
ATOMIC_SPECIES
Pu 244.00 Pu.upf
Al 26.98 Al.upf
Lu 174.97 Lu.upf
ATOMIC_POSITIONS crystal
Pu 0.500 0.500 0.000
Al 0.000 0.000 0.255
Al 0.000 0.000 0.745
Lu 0.500 0.500 0.500
CELL_PARAMETERS angstrom
-1.200 2.537 -1.449
-1.714 0.657 2.570
6.571 4.894 3.130
```

Results
Polymorph energy (0 for the lowest one): 0 meV per atom
Volume: 21.88 Å³/atom
Uncorrected energy: -6.8396 eV/atom
Energy of formation from the pure elements: -5.88 kcal/mol of atoms
Total magnetization: 5.4 μB/cell


HgSb3Pb6: relaxed, PBE-GGA. Values from VASP.

Quantum ESPRESSO input file:
```
&SYSTEM
  ibrav = 0, nat = 20, ntyp = 3
/
ATOMIC_SPECIES
Pb 207.20 Pb.upf
Hg 200.59 Hg.upf
Sb 121.76 Sb.upf
ATOMIC_POSITIONS crystal
Pb 0.250 0.426 0.076
Pb 0.250 0.224 0.502
Pb 0.250 0.053 0.905
Pb 0.750 0.359 0.341
Pb 0.250 0.835 0.271
Pb 0.250 0.641 0.659
Pb 0.750 0.853 0.800
Pb 0.750 0.947 0.095
Pb 0.250 0.147 0.200
Pb 0.750 0.776 0.498
Pb 0.750 0.574 0.924
Pb 0.750 0.165 0.729
Hg 0.250 0.966 0.597
Hg 0.750 0.034 0.403
Sb 0.250 0.551 0.368
Sb 0.250 0.756 0.969
Sb 0.750 0.244 0.031
Sb 0.750 0.449 0.632
Sb 0.250 0.355 0.779
Sb 0.750 0.645 0.221
CELL_PARAMETERS angstrom
4.075 0.000 0.000
0.000 13.342 -2.459
0.000 0.331 11.330
```

Results
Polymorph energy (0 for the lowest one): 0 meV per atom
Raw formation energy: 0.06 eV per atom
Volume: 30.96 Å³/atom
Uncorrected energy: -3.4367 eV/atom
Total magnetization: 0.0 μB/cell


Cs3U2S9: relaxed, PBE-GGA. Values from VASP.

Quantum ESPRESSO input file:
```
&SYSTEM
  ibrav = 0, nat = 14, ntyp = 3
/
ATOMIC_SPECIES
U 238.03 U.upf
S 32.06 S.upf
Cs 132.91 Cs.upf
ATOMIC_POSITIONS crystal
U 0.333 0.667 0.844
U 0.667 0.333 0.156
S 0.179 0.821 0.696
S 0.821 0.643 0.304
S 0.000 0.500 0.000
S 0.500 0.000 0.000
S 0.821 0.179 0.304
S 0.500 0.500 0.000
S 0.179 0.357 0.696
S 0.643 0.821 0.696
S 0.357 0.179 0.304
Cs 0.667 0.333 0.642
Cs 0.333 0.667 0.358
Cs 0.000 0.000 0.000
CELL_PARAMETERS angstrom
7.517 0.000 0.000
-3.759 6.510 0.000
0.000 0.000 9.533
```

Results
Raw formation energy: -0.94 eV per atom
Volume: 33.32 Å³/atom
Uncorrected energy: -5.3906 eV/atom
Total magnetization: 0.0 μB/cell


Pm3PaRu3: relaxed, PBE-GGA. Values from VASP.

Quantum ESPRESSO input file:
```
&SYSTEM
  ibrav = 0, nat = 14, ntyp = 3
/
ATOMIC_SPECIES
Pa 231.04 Pa.upf
Pm 145.00 Pm.upf
Ru 101.07 Ru.upf
ATOMIC_POSITIONS crystal
Pa 0.083 0.202 0.202
Pa 0.917 0.798 0.798
Pm 0.534 0.310 0.310
Pm 0.500 0.190 0.810
Pm 0.466 0.690 0.690
Pm 0.000 0.299 0.701
Pm 0.500 0.810 0.190
Pm 0.000 0.701 0.299
Ru 0.221 0.490 0.016
Ru 0.779 0.510 0.984
Ru 0.197 0.932 0.932
Ru 0.221 0.016 0.490
Ru 0.779 0.984 0.510
Ru 0.803 0.068 0.068
CELL_PARAMETERS angstrom
6.654 0.011 0.714
0.606 7.088 0.927
-0.052 0.255 7.169
```

Results
Polymorph energy (0 for the lowest one): 0 meV per atom
Volume: 24.06 Å³/atom
Uncorrected energy: -7.6856 eV/atom
Energy of formation from the pure elements: -7.33 kcal/mol of atoms
Total magnetization: 0.0 μB/cell


CdTc2Ir: relaxed, PBE-GGA. Values from VASP.

Quantum ESPRESSO input file:
```
&SYSTEM
  ibrav = 0, nat = 4, ntyp = 3
/
ATOMIC_SPECIES
Ir 192.22 Ir.upf
Tc 98.00 Tc.upf
Cd 112.41 Cd.upf
ATOMIC_POSITIONS crystal
Ir 0.500 0.000 0.500
Tc 0.000 0.000 0.000
Tc 0.000 0.500 0.500
Cd 0.500 0.500 0.000
CELL_PARAMETERS angstrom
4.241 0.000 0.000
0.000 3.850 0.000
0.000 0.000 3.850
```

Results
Volume: 15.72 Å³/atom
Uncorrected energy: -7.1851 eV/atom
Energy of formation from the pure elements: 10.19 kcal/mol of atoms
Total magnetization: 0.0 μB/cell


PaTlPd: relaxed, PBE-GGA. Values from VASP.

Quantum ESPRESSO input file:
```
&SYSTEM
  ibrav = 0, nat = 3, ntyp = 3
/
ATOMIC_SPECIES
Tl 204.38 Tl.upf
Pd 106.42 Pd.upf
Pa 231.04 Pa.upf
ATOMIC_POSITIONS crystal
Tl 0.015 0.015 0.031
Pd 0.670 0.670 0.340
Pa 0.315 0.315 0.630
CELL_PARAMETERS angstrom
3.359 0.000 0.000
0.000 3.359 0.000
-1.680 -1.680 5.938
```

Results
Polymorph energy (0 for the lowest one): 0 meV per atom
Volume: 22.33 Å³/atom
Uncorrected energy: -5.9005 eV/atom
Energy of formation from the pure elements: -4.97 kcal/mol of atoms
Total magnetization: 0.4 μB/cell


CdCu2As: relaxed, PBE-GGA. Values from VASP.

Quantum ESPRESSO input file:
```
&SYSTEM
  ibrav = 0, nat = 4, ntyp = 3
/
ATOMIC_SPECIES
Cu 63.55 Cu.upf
Cd 112.41 Cd.upf
As 74.92 As.upf
ATOMIC_POSITIONS crystal
Cu 0.000 0.000 0.000
Cu 0.250 0.750 0.500
Cd 0.750 0.250 0.500
As 0.500 0.500 0.000
CELL_PARAMETERS angstrom
5.056 0.013 0.000
2.058 4.618 0.000
-3.557 -2.316 2.747
```

Results
Polymorph energy (0 for the lowest one): 44 meV per atom
Volume: 16.01 Å³/atom
Uncorrected energy: -3.2823 eV/atom
Energy of formation from the pure elements: 3.62 kcal/mol of atoms
Total magnetization: 0.0 μB/cell


Er8HgC4: relaxed, PBE-GGA. Values from VASP.

Quantum ESPRESSO input file:
```
&SYSTEM
  ibrav = 0, nat = 13, ntyp = 3
/
ATOMIC_SPECIES
Er 167.26 Er.upf
C 12.01 C.upf
Hg 200.59 Hg.upf
ATOMIC_POSITIONS crystal
Er 0.207 0.668 0.918
Er 0.870 0.691 0.569
Er 0.161 0.313 0.365
Er 0.861 0.976 0.302
Er 0.171 0.027 0.632
Er 0.472 0.371 0.685
Er 0.824 0.336 0.016
Er 0.560 0.632 0.249
C 0.190 0.485 0.136
C 0.364 0.835 0.438
C 0.668 0.169 0.495
C 0.842 0.518 0.798
Hg 0.516 0.002 0.967
CELL_PARAMETERS angstrom
-0.824 -3.055 -1.745
7.401 -1.477 -4.651
3.153 -6.209 5.637
```

Results
Volume: 21.15 Å³/atom
Uncorrected energy: -5.9813 eV/atom
Energy of formation from the pure elements: -7.20 kcal/mol of atoms
Total magnetization: 0.0 μB/cell


SiPRh: relaxed, PBE-GGA. Values from VASP.

Quantum ESPRESSO input file:
```
&SYSTEM
  ibrav = 0, nat = 12, ntyp = 3
/
ATOMIC_SPECIES
P 30.97 P.upf
Si 28.09 Si.upf
Rh 102.91 Rh.upf
ATOMIC_POSITIONS crystal
P 0.750 0.156 0.915
P 0.250 0.844 0.085
P 0.750 0.656 0.585
P 0.250 0.344 0.415
Si 0.750 0.562 0.938
Si 0.250 0.438 0.062
Si 0.750 0.062 0.562
Si 0.250 0.938 0.438
Rh 0.750 0.387 0.309
Rh 0.250 0.613 0.691
Rh 0.250 0.113 0.809
Rh 0.750 0.887 0.191
CELL_PARAMETERS angstrom
-2.328 3.958 1.555
-5.033 -2.701 -0.661
0.358 -2.115 5.918
```

Results
Raw formation energy: -0.21 eV per atom
Volume: 14.62 Å³/atom
Uncorrected energy: -6.2725 eV/atom
Total magnetization: 0.0 μB/cell